No. 1
Material: Ac2NdSb4Pd3
Method: DFT, GGA-PBE
State: relaxed

The electronic total energy comes out at -5.378 eV per atom. Its crystal system is tetragonal. The value obtained for the formation energy from raw total energies is -8.73 eV per formula unit. Its density of states at the Fermi level is 4.144 states/eV/f.u. For the volume, the calculation gives 26.849 Å³/atom.

a b c (Å): 4.7461 4.7461 11.9193
angles (deg): 90.00 90.00 90.00
Last column: nearest neighbours and their distance in Å.
Atoms (fractional coordinates):
Ac1 0.5000 0.0000 0.2213  8 Sb 3.55-3.64, 4 Pd 3.59
Ac2 0.0000 0.5000 0.7787  8 Sb 3.55-3.64, 4 Pd 3.59
Nd1 0.5000 0.5000 0.5000  4 Sb 3.04, 4 Pd 3.36
Sb1 0.5000 0.5000 0.0000  4 Pd 2.74
Sb2 0.0000 0.0000 0.0000  4 Pd 2.74
Sb3 0.5000 0.0000 0.6596  1 Pd 2.68
Sb4 0.0000 0.5000 0.3404  1 Pd 2.68
Pd1 0.0000 0.0000 0.5000  4 Sb 3.04, 4 Nd 3.36
Pd2 0.5000 0.0000 0.8845  5 Sb 2.68-2.74
Pd3 0.0000 0.5000 0.1155  5 Sb 2.68-2.74

No. 2
Material: Ac2NdSb3Pd4
Method: DFT, GGA-PBE
State: relaxed

The electronic total energy comes out at -5.544 eV per atom. Its crystal system is tetragonal. The value obtained for the formation energy from raw total energies is -9.31 eV per formula unit. Its density of states at the Fermi level is 3.085 states/eV/f.u. For the volume, the calculation gives 25.242 Å³/atom.

a b c (Å): 4.6665 4.6665 11.5913
angles (deg): 90.00 90.00 90.00
Last column: nearest neighbours and their distance in Å.
Atoms (fractional coordinates):
Ac1 0.5000 0.0000 0.2150  8 Pd 3.41-3.66, 4 Sb 3.46
Ac2 0.0000 0.5000 0.7850  8 Pd 3.41-3.66, 4 Sb 3.46
Nd1 0.5000 0.5000 0.5000  4 Pd 2.89
Sb1 0.0000 0.0000 0.5000  4 Pd 2.89
Sb2 0.5000 0.0000 0.8754  5 Pd 2.64-2.74
Sb3 0.0000 0.5000 0.1246  5 Pd 2.64-2.74
Pd1 0.5000 0.5000 0.0000  4 Sb 2.74
Pd2 0.0000 0.0000 0.0000  4 Sb 2.74
Pd3 0.5000 0.0000 0.6477  3 Sb 2.64-2.89, 2 Nd 2.89
Pd4 0.0000 0.5000 0.3523  3 Sb 2.64-2.89, 2 Nd 2.89

No. 3
Material: Ac2NdPdSe5
Method: DFT, GGA-PBE
State: relaxed

The electronic total energy comes out at -5.627 eV per atom. Its crystal system is orthorhombic. The value obtained for the formation energy from raw total energies is -15.04 eV per formula unit. Its density of states at the Fermi level is 2.908 states/eV/f.u. For the volume, the calculation gives 27.358 Å³/atom.

a b c (Å): 4.1957 9.2752 12.9906
angles (deg): 90.00 90.00 103.07
Last column: nearest neighbours and their distance in Å.
Atoms (fractional coordinates):
Ac1 0.8867 0.7734 0.8462  8 Se 3.18-3.50
Ac2 0.1240 0.2480 0.6967  8 Se 3.14-3.36
Ac3 0.1133 0.2266 0.3462  8 Se 3.18-3.50
Ac4 0.8760 0.7520 0.1967  8 Se 3.14-3.36
Nd1 0.8248 0.6496 0.5229  6 Se 2.93-3.01, 2 Pd 3.27
Nd2 0.1752 0.3504 0.0229  6 Se 2.93-3.01, 2 Pd 3.27
Pd1 0.5549 0.1098 0.9259  4 Se 2.55-2.65
Pd2 0.4451 0.8902 0.4259  4 Se 2.55-2.65
Se1 0.3408 0.6816 0.0188  1 Nd 2.99, 4 Ac 3.18-3.19
Se2 0.6934 0.3868 0.8595  1 Pd 2.65
Se3 0.4993 0.9986 0.7458  1 Pd 2.55
Se4 0.3063 0.6126 0.6866  2 Nd 3.01, 3 Ac 3.29-3.30
Se5 0.9868 0.9736 0.5216  2 Pd 2.55
Se6 0.6592 0.3184 0.5188  1 Nd 2.99, 4 Ac 3.18-3.19
Se7 0.3066 0.6132 0.3595  1 Pd 2.65
Se8 0.5007 0.0014 0.2458  1 Pd 2.55
Se9 0.6937 0.3874 0.1866  2 Nd 3.01, 3 Ac 3.29-3.30
Se10 0.0132 0.0264 0.0216  2 Pd 2.55

No. 4
Material: AcNdSiPd
Method: DFT, GGA-PBE
State: relaxed

The electronic total energy comes out at -5.435 eV per atom. Its crystal system is cubic. The value obtained for the formation energy from raw total energies is -2.25 eV per formula unit. Its density of states at the Fermi level is 1.767 states/eV/f.u. For the volume, the calculation gives 26.300 Å³/atom.

a b c (Å): 5.2988 5.2988 5.2988
angles (deg): 60.00 60.00 60.00
Last column: nearest neighbours and their distance in Å.
Atoms (fractional coordinates):
Ac1 0.5000 0.5000 0.5000  4 Si 3.24, 4 Pd 3.24
Nd1 0.0000 0.0000 0.0000  4 Pd 3.24, 4 Si 3.24
Si1 0.2500 0.2500 0.2500  4 Ac 3.24, 4 Nd 3.24
Pd1 0.7500 0.7500 0.7500  4 Ac 3.24, 4 Nd 3.24

No. 5
Material: AcNdSi2Pd2
Method: DFT, GGA-PBE
State: relaxed

The electronic total energy comes out at -5.901 eV per atom. Its crystal system is trigonal. The value obtained for the formation energy from raw total energies is -5.30 eV per formula unit. Its density of states at the Fermi level is 4.153 states/eV/f.u. For the volume, the calculation gives 22.877 Å³/atom.

a b c (Å): 4.2729 4.2729 8.6812
angles (deg): 90.00 90.00 120.00
Last column: nearest neighbours and their distance in Å.
Atoms (fractional coordinates):
Ac1 0.0000 0.0000 0.0000  6 Pd 3.36, 6 Si 3.37
Nd1 0.0000 0.0000 0.5000  6 Si 3.21, 6 Pd 3.22
Si1 0.6667 0.3333 0.7363  3 Pd 2.47
Si2 0.3333 0.6667 0.2637  3 Pd 2.47
Pd1 0.6667 0.3333 0.2622  3 Si 2.47
Pd2 0.3333 0.6667 0.7378  3 Si 2.47

No. 6
Material: AcNdSi2Pd5
Method: DFT, GGA-PBE
State: relaxed

The electronic total energy comes out at -5.935 eV per atom. Its crystal system is tetragonal. The value obtained for the formation energy from raw total energies is -7.73 eV per formula unit. Its density of states at the Fermi level is 2.877 states/eV/f.u. For the volume, the calculation gives 18.995 Å³/atom.

a b c (Å): 4.3249 4.3249 9.1399
angles (deg): 90.00 90.00 90.00
Last column: nearest neighbours and their distance in Å.
Atoms (fractional coordinates):
Ac1 0.0000 0.0000 0.5000  12 Pd 3.06-3.08
Nd1 0.0000 0.0000 0.0000  8 Pd 3.21, 8 Si 3.29
Si1 0.5000 0.5000 0.1315  1 Si 2.40, 4 Pd 2.46
Si2 0.5000 0.5000 0.8685  1 Si 2.40, 4 Pd 2.46
Pd1 0.0000 0.5000 0.2598  2 Si 2.46
Pd2 0.5000 0.0000 0.2598  2 Si 2.46
Pd3 0.0000 0.5000 0.7402  2 Si 2.46
Pd4 0.5000 0.0000 0.7402  2 Si 2.46
Pd5 0.5000 0.5000 0.5000  4 Ac 3.06, 8 Pd 3.08, 2 Si 3.37

No. 7
Material: AcNdSn2Pd5
Method: DFT, GGA-PBE
State: relaxed

The electronic total energy comes out at -5.470 eV per atom. Its crystal system is tetragonal. Its density of states at the Fermi level is 4.010 states/eV/f.u. The value obtained for the formation energy from the elements is -709 meV per atom. For the volume, the calculation gives 21.834 Å³/atom.

a b c (Å): 4.5847 4.5847 9.3487
angles (deg): 90.00 90.00 90.00
Last column: nearest neighbours and their distance in Å.
Atoms (fractional coordinates):
Ac1 0.0000 0.0000 0.5000  12 Pd 3.05-3.24
Nd1 0.0000 0.0000 0.0000  8 Pd 3.51, 8 Sn 3.53
Sn1 0.5000 0.5000 0.1491  4 Pd 2.62, 1 Sn 2.79
Sn2 0.5000 0.5000 0.8509  4 Pd 2.62, 1 Sn 2.79
Pd1 0.0000 0.5000 0.2848  2 Sn 2.62
Pd2 0.5000 0.0000 0.2848  2 Sn 2.62
Pd3 0.0000 0.5000 0.7152  2 Sn 2.62
Pd4 0.5000 0.0000 0.7152  2 Sn 2.62
Pd5 0.5000 0.5000 0.5000  8 Pd 3.05, 4 Ac 3.24, 2 Sn 3.28

No. 8
Material: Ac2NdSn3Pd4
Method: DFT, GGA-PBE
State: relaxed

The electronic total energy comes out at -5.401 eV per atom. Its crystal system is tetragonal. Its density of states at the Fermi level is 6.680 states/eV/f.u. The value obtained for the formation energy from the elements is -825 meV per atom. For the volume, the calculation gives 25.192 Å³/atom.

a b c (Å): 4.7217 4.7217 11.2994
angles (deg): 90.00 90.00 90.00
Last column: nearest neighbours and their distance in Å.
Atoms (fractional coordinates):
Ac1 0.5000 0.0000 0.2251  8 Pd 3.47-3.63, 5 Sn 3.55-3.88
Ac2 0.0000 0.5000 0.7749  8 Pd 3.47-3.63, 5 Sn 3.55-3.88
Nd1 0.5000 0.5000 0.5000  4 Pd 2.89
Sn1 0.0000 0.0000 0.5000  4 Pd 2.89
Sn2 0.5000 0.0000 0.8817  5 Pd 2.64-2.71
Sn3 0.0000 0.5000 0.1183  5 Pd 2.64-2.71
Pd1 0.5000 0.5000 0.0000  4 Sn 2.71
Pd2 0.0000 0.0000 0.0000  4 Sn 2.71
Pd3 0.5000 0.0000 0.6478  3 Sn 2.64-2.89, 2 Nd 2.89
Pd4 0.0000 0.5000 0.3522  3 Sn 2.64-2.89, 2 Nd 2.89

No. 9
Material: Ac2NdSn4Pd3
Method: DFT, GGA-PBE
State: relaxed

The electronic total energy comes out at -5.210 eV per atom. Its crystal system is tetragonal. Its density of states at the Fermi level is 4.850 states/eV/f.u. The value obtained for the formation energy from the elements is -753 meV per atom. For the volume, the calculation gives 26.533 Å³/atom.

a b c (Å): 4.6140 4.6140 12.4635
angles (deg): 90.00 90.00 90.00
Last column: nearest neighbours and their distance in Å.
Atoms (fractional coordinates):
Ac1 0.5000 0.0000 0.2276  4 Pd 3.52, 8 Sn 3.53-3.66
Ac2 0.0000 0.5000 0.7724  4 Pd 3.52, 8 Sn 3.53-3.66
Nd1 0.5000 0.5000 0.5000  4 Sn 3.08, 4 Pd 3.26
Sn1 0.5000 0.5000 0.0000  4 Pd 2.75
Sn2 0.0000 0.0000 0.0000  4 Pd 2.75
Sn3 0.5000 0.0000 0.6636  1 Pd 2.69
Sn4 0.0000 0.5000 0.3364  1 Pd 2.69
Pd1 0.0000 0.0000 0.5000  4 Sn 3.08, 4 Nd 3.26
Pd2 0.5000 0.0000 0.8793  5 Sn 2.69-2.75
Pd3 0.0000 0.5000 0.1207  5 Sn 2.69-2.75

No. 10
Material: Ac2NdSn3Pd6
Method: DFT, GGA-PBE
State: relaxed

The electronic total energy comes out at -5.221 eV per atom. Its crystal system is tetragonal. Its density of states at the Fermi level is 7.042 states/eV/f.u. The value obtained for the formation energy from the elements is -541 meV per atom. For the volume, the calculation gives 26.697 Å³/atom.

a b c (Å): 4.2539 4.2539 17.7041
angles (deg): 90.00 90.00 90.00
Last column: nearest neighbours and their distance in Å.
Atoms (fractional coordinates):
Ac1 0.5000 0.5000 0.1791  4 Pd 3.07
Ac2 0.5000 0.5000 0.8209  4 Pd 3.07
Nd1 0.5000 0.5000 0.5000  8 Pd 2.96
Sn1 0.0000 0.0000 0.2951  5 Pd 2.64-2.67
Sn2 0.0000 0.0000 0.7049  5 Pd 2.64-2.67
Sn3 0.0000 0.0000 0.0000  2 Pd 2.55
Pd1 0.0000 0.5000 0.6165  2 Sn 2.64
Pd2 0.5000 0.0000 0.3835  2 Sn 2.64
Pd3 0.5000 0.0000 0.6165  2 Sn 2.64
Pd4 0.0000 0.0000 0.1442  2 Sn 2.55-2.67
Pd5 0.0000 0.5000 0.3835  2 Sn 2.64
Pd6 0.0000 0.0000 0.8558  2 Sn 2.55-2.67

No. 11
Material: AcNdZnPd
Method: DFT, GGA-PBE
State: relaxed

The electronic total energy comes out at -4.293 eV per atom. Its crystal system is cubic. Its density of states at the Fermi level is 2.787 states/eV/f.u. Its energy relative to the lowest polymorph listed for this composition is 18 kJ/mol of formula units. The value obtained for the formation energy from the elements is -458 meV per atom. For the volume, the calculation gives 26.639 Å³/atom.

a b c (Å): 5.3215 5.3215 5.3215
angles (deg): 60.00 60.00 60.00
Last column: nearest neighbours and their distance in Å.
Atoms (fractional coordinates):
Ac1 0.7500 0.7500 0.7500  4 Pd 3.26, 4 Zn 3.26
Nd1 0.2500 0.2500 0.2500  4 Zn 3.26, 4 Pd 3.26
Zn1 0.0000 0.0000 0.0000  4 Ac 3.26, 4 Nd 3.26
Pd1 0.5000 0.5000 0.5000  4 Ac 3.26, 4 Nd 3.26

No. 12
Material: AcNdZn2Pd2
Method: DFT, GGA-PBE
State: relaxed

The electronic total energy comes out at -4.304 eV per atom. Its crystal system is trigonal. Its density of states at the Fermi level is 4.464 states/eV/f.u. The value obtained for the formation energy from the elements is -669 meV per atom. For the volume, the calculation gives 23.132 Å³/atom.

a b c (Å): 4.5341 4.5341 7.7958
angles (deg): 90.00 90.00 120.00
Last column: nearest neighbours and their distance in Å.
Atoms (fractional coordinates):
Ac1 0.0000 0.0000 0.0000  6 Pd 3.34, 6 Zn 3.38
Nd1 0.0000 0.0000 0.5000  6 Zn 3.15, 6 Pd 3.19
Zn1 0.6667 0.3333 0.7251  3 Pd 2.62
Zn2 0.3333 0.6667 0.2749  3 Pd 2.62
Pd1 0.6667 0.3333 0.2656  3 Zn 2.62
Pd2 0.3333 0.6667 0.7344  3 Zn 2.62